Computed, not measured: a geometry-optimized KBa2H8Ir structure at the GGA-PBE level of DFT.

Unit cell a=5.278 b=5.278 c=7.426 alpha=90.00 beta=90.00 gamma=120.00
Fractional coordinates of all 12 atoms:
K 0.000 0.000 0.000
Ba 0.333 0.667 0.287
Ba 0.667 0.333 0.713
H 0.152 0.304 0.628
H 0.152 0.848 0.628
H 0.304 0.152 0.372
H 0.333 0.667 0.930
H 0.667 0.333 0.070
H 0.696 0.848 0.628
H 0.848 0.152 0.372
H 0.848 0.696 0.372
Ir 0.000 0.000 0.500

Properties
DFT total energy   -3.85 eV/atom
Symmetry   P-3m1, No. 164
Crystal system   trigonal

Computed, not measured: a geometry-optimized Zr2RhBr structure at the GGA-PBE level of DFT.

Unit cell a=4.981 b=4.981 c=4.981 alpha=131.67 beta=117.27 gamma=82.93
Fractional coordinates of all 4 atoms:
Zr 0.244 0.244 0.000
Zr 0.756 0.756 0.000
Rh 0.000 0.500 0.500
Br 0.500 0.000 0.500

Properties
Polymorph energy (0 for the lowest one)   304 meV per atom
Symmetry   Immm, No. 71
Formation energy without anion corrections   -295 meV per atom
Crystal system   orthorhombic

Computed, not measured: a geometry-optimized ZnSb structure at the GGA-PBE level of DFT.

Unit cell a=6.129 b=6.129 c=6.129 alpha=141.13 beta=141.13 gamma=56.14
Fractional coordinates of all 4 atoms:
Zn 0.375 0.625 0.750
Zn 0.625 0.375 0.250
Sb 0.125 0.875 0.250
Sb 0.875 0.125 0.750

Properties
Symmetry   I4_1/amd, No. 141
Formation energy without anion corrections   198 meV per atom
Crystal system   tetragonal

Computed, not measured: a geometry-optimized Ac3Hg5H12 structure at the GGA-PBE level of DFT.

Unit cell a=11.880 b=11.880 c=11.880 alpha=109.47 beta=109.47 gamma=109.47
Fractional coordinates of all 80 atoms:
Ac 0.125 0.250 0.375
Ac 0.125 0.375 0.750
Ac 0.250 0.375 0.125
Ac 0.250 0.875 0.625
Ac 0.375 0.125 0.250
Ac 0.375 0.750 0.125
Ac 0.625 0.250 0.875
Ac 0.625 0.875 0.750
Ac 0.750 0.125 0.375
Ac 0.750 0.625 0.875
Ac 0.875 0.625 0.250
Ac 0.875 0.750 0.625
Hg 0.000 0.000 0.000
Hg 0.000 0.000 0.500
Hg 0.000 0.500 0.000
Hg 0.000 0.500 0.500
Hg 0.125 0.750 0.875
Hg 0.125 0.875 0.250
Hg 0.250 0.125 0.875
Hg 0.250 0.625 0.375
Hg 0.375 0.250 0.625
Hg 0.375 0.625 0.750
Hg 0.500 0.000 0.000
Hg 0.500 0.000 0.500
Hg 0.500 0.500 0.000
Hg 0.500 0.500 0.500
Hg 0.625 0.375 0.250
Hg 0.625 0.750 0.375
Hg 0.750 0.375 0.625
Hg 0.750 0.875 0.125
Hg 0.875 0.125 0.750
Hg 0.875 0.250 0.125
H 0.042 0.256 0.150
H 0.042 0.286 0.892
H 0.106 0.756 0.714
H 0.106 0.850 0.392
H 0.108 0.650 0.394
H 0.108 0.958 0.714
H 0.150 0.042 0.256
H 0.150 0.608 0.894
H 0.214 0.256 0.606
H 0.214 0.458 0.608
H 0.244 0.286 0.894
H 0.244 0.458 0.350
H 0.256 0.150 0.042
H 0.256 0.606 0.214
H 0.286 0.892 0.042
H 0.286 0.894 0.244
H 0.350 0.244 0.458
H 0.350 0.606 0.892
H 0.392 0.106 0.850
H 0.392 0.786 0.542
H 0.394 0.108 0.650
H 0.394 0.786 0.744
H 0.458 0.350 0.244
H 0.458 0.608 0.214
H 0.542 0.392 0.786
H 0.542 0.650 0.756
H 0.606 0.214 0.256
H 0.606 0.892 0.350
H 0.608 0.214 0.458
H 0.608 0.894 0.150
H 0.650 0.394 0.108
H 0.650 0.756 0.542
H 0.714 0.106 0.756
H 0.714 0.108 0.958
H 0.744 0.394 0.786
H 0.744 0.850 0.958
H 0.756 0.542 0.650
H 0.756 0.714 0.106
H 0.786 0.542 0.392
H 0.786 0.744 0.394
H 0.850 0.392 0.106
H 0.850 0.958 0.744
H 0.892 0.042 0.286
H 0.892 0.350 0.606
H 0.894 0.150 0.608
H 0.894 0.244 0.286
H 0.958 0.714 0.108
H 0.958 0.744 0.850

Properties
DFT total energy   -2.76 eV/atom
Symmetry   Ia-3d, No. 230
Crystal system   cubic

Computed, not measured: a geometry-optimized Cs3VS4 structure at the GGA-PBE level of DFT.

Unit cell a=7.486 b=7.486 c=7.486 alpha=121.93 beta=91.95 gamma=115.92
Fractional coordinates of all 8 atoms:
Cs 0.000 0.000 0.000
Cs 0.195 0.433 0.761
Cs 0.672 0.433 0.239
V 0.501 0.001 0.500
S 0.175 0.848 0.327
S 0.521 0.848 0.673
S 0.660 0.400 0.740
S 0.660 0.920 0.260

Properties
Symmetry   Imm2, No. 44
Formation energy without anion corrections   -1144 meV per atom
Crystal system   orthorhombic

Computed, not measured: a geometry-optimized Cs3NaPd2Br9 structure at the GGA-PBE level of DFT.

Unit cell a=7.707 b=7.707 c=9.520 alpha=90.00 beta=90.00 gamma=120.00
Fractional coordinates of all 15 atoms:
Cs 0.000 0.000 0.000
Cs 0.333 0.667 0.662
Cs 0.667 0.333 0.338
Na 0.000 0.000 0.500
Pd 0.333 0.667 0.156
Pd 0.667 0.333 0.844
Br 0.000 0.500 0.000
Br 0.174 0.348 0.312
Br 0.174 0.826 0.312
Br 0.348 0.174 0.688
Br 0.500 0.000 0.000
Br 0.500 0.500 0.000
Br 0.652 0.826 0.312
Br 0.826 0.174 0.688
Br 0.826 0.652 0.688

Properties
Symmetry   P-3m1, No. 164
Formation energy without anion corrections   -1043 meV per atom
Crystal system   trigonal